## TbPaGaCu (GGA-PBE)

Data for an optimized crystal structure of TbPaGaCu.

Results
total DFT energy (no corrections)	-5.415	eV per atom
size of the total moment	0.0	μB/cell
formation enthalpy at 0 K	-0.102	eV/atom

Lattice parameters (Å, degrees): 4.976 4.976 4.976 60.00 60.00 60.00
Element x y z (fractional)
Pa (0.500, 0.500, 0.500)
Ga (0.250, 0.250, 0.250)
Tb (0.000, 0.000, 0.000)
Cu (0.750, 0.750, 0.750)